Compound: Y4AlPt
Source: Alexandria via LeMat-Bulk
Functional: PBE-GGA
Structure: optimized geometry

## Properties
E_form = -0.6364 eV per atom
M_tot = 0.0 μB per formula unit
polymorph energy (0 for the lowest one) = 0 meV per atom
VASP energy = -631.33 eV for the cell shown
calculated volume = 2529.2 Å³/cell

Cell: 13.625 13.625 13.625 Å, 90.00 90.00 90.00°
Space group F-43m (No. 216)
Symmetry-distinct sites (fractional):
Y 0.000 0.000 0.186 x24
Y 0.057 0.250 0.250 x24
Y 0.105 0.105 0.605 x16
Al 0.172 0.172 0.828 x16
Pt 0.106 0.106 0.394 x16

---

Compound: Ac2Pr3P4
Source: Alexandria via LeMat-Bulk
Functional: PBE-GGA
Structure: optimized geometry

## Properties
E_form = -1.3268 eV per atom
M_tot = 0.4 μB per formula unit
VASP energy = -112.27 eV for the cell shown
calculated volume = 548.5 Å³/cell

Cell: 14.072 4.235 10.491 Å, 90.00 118.67 90.00°
Space group C2/m (No. 12)
Symmetry-distinct sites (fractional):
Ac 0.100 0.000 0.393 x4
Pr 0.000 0.500 0.000 x2
Pr 0.208 0.500 0.817 x4
P 0.102 0.000 0.903 x4
P 0.201 0.500 0.296 x4

---

Compound: NdSnBi2
Source: Alexandria via LeMat-Bulk
Functional: PBE-GGA
Structure: optimized geometry

## Properties
E_form = 0.1825 eV per atom
M_tot = 0.0 μB per formula unit
polymorph energy (0 for the lowest one) = 640 meV per atom
VASP energy = -47.41 eV for the cell shown
calculated volume = 420.7 Å³/cell

Cell: 3.8651 3.8651 32.5143 Å, 90.00 90.00 120.00°
Space group R-3m (No. 166, hexagonal axes)
Symmetry-distinct sites (fractional):
Nd 0.0000 0.0000 0.0000 x3
Sn 0.0000 0.0000 0.5000 x3
Bi 0.0000 0.0000 0.0987 x6

---

Number 2 is which compound?
Ac2Pr3P4

---

What is the M_tot in the third record?
0.0 μB per formula unit

---

Among the records above, which one has the highest VASP energy?
NdSnBi2

---

Which formula does entry 2 have?
Ac2Pr3P4